(1)
Cd3RhO | SCAN | single point on PBEsol structure

Calculated values
final energy	-131.6	eV for the cell shown

a b c (Å): 4.4153 4.4153 4.4153
angles (deg): 90.00 90.00 90.00
Closest atoms and distances in Å follow each position.
Sites, in units of the cell vectors:
1 Cd 0.0000 0.0000 0.5000  2 O 2.21
2 Cd 0.0000 0.5000 0.0000  2 O 2.21
3 Cd 0.5000 0.0000 0.0000  2 O 2.21
4 Rh 0.5000 0.5000 0.5000  12 Cd 3.12
5 O 0.0000 0.0000 0.0000  6 Cd 2.21

(2)
CdRh2O4 | SCAN | single point on PBEsol structure

Calculated values
final energy	-261.3	eV for the cell shown

a b c (Å): 6.1990 6.1990 6.1990
angles (deg): 60.00 60.00 60.00
Closest atoms and distances in Å follow each position.
Sites, in units of the cell vectors:
1 Cd 0.1250 0.1250 0.1250  4 O 2.18
2 Cd 0.8750 0.8750 0.8750  4 O 2.18
3 Rh 0.0000 0.5000 0.5000  6 O 2.04
4 Rh 0.5000 0.0000 0.5000  6 O 2.04
5 Rh 0.5000 0.5000 0.0000  6 O 2.04
6 Rh 0.5000 0.5000 0.5000  6 O 2.04
7 O 0.2688 0.2688 0.2688  3 Rh 2.04, 1 Cd 2.18
8 O 0.2688 0.2688 0.6935  3 Rh 2.04, 1 Cd 2.18
9 O 0.2688 0.6935 0.2688  3 Rh 2.04, 1 Cd 2.18
10 O 0.3065 0.7312 0.7312  3 Rh 2.04, 1 Cd 2.18
11 O 0.6935 0.2688 0.2688  3 Rh 2.04, 1 Cd 2.18
12 O 0.7312 0.3065 0.7312  3 Rh 2.04, 1 Cd 2.18
13 O 0.7312 0.7312 0.3065  3 Rh 2.04, 1 Cd 2.18
14 O 0.7312 0.7312 0.7312  3 Rh 2.04, 1 Cd 2.18